(1)
DFT (GGA-PBE) results for crystalline BaFeHgRh2 at its relaxed geometry.

## Properties
Formation energy from the elements in kJ/mol of atoms: 81.7

```
data_BaFeHgRh2
_cell_length_a 5.160
_cell_length_b 5.160
_cell_length_c 4.848
_cell_angle_alpha 90.00
_cell_angle_beta 90.00
_cell_angle_gamma 90.00
_symmetry_space_group_name_H-M 'P 4/m m m'
_symmetry_Int_Tables_number 123
_symmetry_space_group_name_Hall '-P 4 2'
loop_
_atom_site_label
_atom_site_fract_x
_atom_site_fract_y
_atom_site_fract_z
Ba1 0.000 0.000 0.000
Fe1 0.500 0.500 0.000
Hg1 0.500 0.500 0.500
Rh1 0.000 0.500 0.500
```

(2)
DFT (GGA-PBE) results for crystalline KScAl2 at its relaxed geometry.

## Properties
Offset from the most stable computed form in kJ/mol of formula units: 91.7
Formation energy from the elements in kJ/mol of atoms: 20.8

```
data_KScAl2
_cell_length_a 5.489
_cell_length_b 5.489
_cell_length_c 3.164
_cell_angle_alpha 90.00
_cell_angle_beta 90.00
_cell_angle_gamma 90.00
_symmetry_space_group_name_H-M 'P 4/m m m'
_symmetry_Int_Tables_number 123
_symmetry_space_group_name_Hall '-P 4 2'
loop_
_atom_site_label
_atom_site_fract_x
_atom_site_fract_y
_atom_site_fract_z
K1 0.000 0.000 0.000
Sc1 0.500 0.500 0.000
Al1 0.000 0.500 0.500
```

(3)
DFT (GGA-PBE) results for crystalline ZrCo2BAs at its relaxed geometry.

## Properties
Formation energy from the elements in kJ/mol of atoms: 97.0

```
data_ZrCo2BAs
_cell_length_a 4.212
_cell_length_b 4.212
_cell_length_c 5.119
_cell_angle_alpha 90.00
_cell_angle_beta 90.00
_cell_angle_gamma 90.00
_symmetry_space_group_name_H-M 'P 4/m m m'
_symmetry_Int_Tables_number 123
_symmetry_space_group_name_Hall '-P 4 2'
loop_
_atom_site_label
_atom_site_fract_x
_atom_site_fract_y
_atom_site_fract_z
Zr1 0.000 0.000 0.000
Co1 0.000 0.500 0.500
B1 0.500 0.500 0.000
As1 0.000 0.000 0.500
```

(4)
DFT (GGA-PBE) results for crystalline AgSb2Te at its relaxed geometry.

## Properties
E_form (uncorrected) in eV/atom: 0.06

```
data_AgSb2Te
_cell_length_a 4.316
_cell_length_b 4.316
_cell_length_c 5.959
_cell_angle_alpha 90.00
_cell_angle_beta 90.00
_cell_angle_gamma 90.00
_symmetry_space_group_name_H-M 'P 4 m m'
_symmetry_Int_Tables_number 99
loop_
_symmetry_equiv_pos_as_xyz
'x,y,z'
'-y,x,z'
'-x,-y,z'
'y,-x,z'
'-x,y,z'
'y,x,z'
'x,-y,z'
'-y,-x,z'
loop_
_atom_site_label
_atom_site_fract_x
_atom_site_fract_y
_atom_site_fract_z
Ag1 0.000 0.000 0.000
Sb1 0.000 0.000 0.500
Sb2 0.500 0.500 0.501
Te1 0.500 0.500 0.000
```

no.,VASP energy (eV per atom),N(E_F) (states/eV/f.u.)
1,-4.231,7.96
2,-3.513,2.38
3,-5.812,6.47
4,-3.501,2.65